(1)
Computed, not measured: a geometry-optimized LaPr4Th3Se8 structure at the GGA-PBE level of DFT.

abc: 8.5313 8.5313 8.5313
angles: 59.36 59.36 59.36
Closest atoms and distances in Å follow each position.
Sites, in units of the cell vectors:
La 0.0000 0.0000 0.0000  6 Se 3.01
Pr 0.0000 0.0000 0.5000  6 Se 3.01
Pr 0.0000 0.5000 0.0000  6 Se 3.01
Pr 0.5000 0.0000 0.0000  6 Se 3.01
Pr 0.5000 0.5000 0.5000  6 Se 2.99
Th 0.0000 0.5000 0.5000  6 Se 2.99
Th 0.5000 0.0000 0.5000  6 Se 2.99
Th 0.5000 0.5000 0.0000  6 Se 2.99
Se 0.2507 0.2507 0.2507  3 Th 2.99, 3 Pr 3.01
Se 0.2509 0.2509 0.7469  2 Th 2.99, 3 Pr 2.99-3.01, 1 La 3.01
Se 0.2509 0.7469 0.2509  2 Th 2.99, 3 Pr 2.99-3.01, 1 La 3.01
Se 0.2531 0.7491 0.7491  2 Th 2.99, 3 Pr 2.99-3.01, 1 La 3.01
Se 0.7469 0.2509 0.2509  2 Th 2.99, 3 Pr 2.99-3.01, 1 La 3.01
Se 0.7491 0.2531 0.7491  2 Th 2.99, 3 Pr 2.99-3.01, 1 La 3.01
Se 0.7491 0.7491 0.2531  2 Th 2.99, 3 Pr 2.99-3.01, 1 La 3.01
Se 0.7493 0.7493 0.7493  3 Th 2.99, 3 Pr 3.01

Calculated values
The calculation puts the total magnetization at 0.000 μB/f.u. As for the formation energy (no corrections): -1.745 eV per atom. The crystal system is trigonal.

(2)
Computed, not measured: a geometry-optimized Co2CuHRh structure at the GGA-PBE level of DFT.

abc: 3.6813 3.6813 3.7973
angles: 90.00 90.00 90.00
Closest atoms and distances in Å follow each position.
Sites, in units of the cell vectors:
Co 0.0000 0.5000 0.0000  2 H 1.84
Co 0.5000 0.0000 0.0000  2 H 1.84
Cu 0.0000 0.0000 0.5000  4 Rh 2.60, 8 Co 2.64
H 0.5000 0.5000 0.0000  4 Co 1.84, 2 Rh 1.90
Rh 0.5000 0.5000 0.5000  2 H 1.90

Calculated values
The calculation puts the excess energy over the best structure of this formula in the dataset at 0.000 eV/atom. The calculation puts the total magnetization at 4.230 μB/f.u. The crystal system is tetragonal.

(3)
Computed, not measured: a geometry-optimized LiTh2Ni4P3 structure at the GGA-PBE level of DFT.

abc: 3.9936 3.9936 9.4705
angles: 90.00 90.00 90.00
Closest atoms and distances in Å follow each position.
Sites, in units of the cell vectors:
Li 0.0000 0.0000 0.0000  4 Ni 2.34
Th 0.0000 0.5000 0.7459  6 P 3.03-3.13, 8 Ni 3.06-3.07, 2 Li 3.13
Th 0.5000 0.0000 0.2541  6 P 3.03-3.13, 8 Ni 3.06-3.07, 2 Li 3.13
Ni 0.0000 0.0000 0.5000  4 P 2.34
Ni 0.0000 0.5000 0.1293  3 P 2.28-2.34, 2 Li 2.34
Ni 0.5000 0.0000 0.8707  3 P 2.28-2.34, 2 Li 2.34
Ni 0.5000 0.5000 0.5000  4 P 2.34
P 0.0000 0.5000 0.3702  5 Ni 2.28-2.34
P 0.5000 0.0000 0.6298  5 Ni 2.28-2.34
P 0.5000 0.5000 0.0000  4 Ni 2.34

Calculated values
The calculation puts the total magnetization at 0.000 μB/f.u. Its formation energy is -0.94 eV per atom. The crystal system is tetragonal.

(4)
Computed, not measured: a geometry-optimized Li5AsPd8 structure at the GGA-PBE level of DFT.

abc: 6.4396 6.4396 6.4396
angles: 111.39 111.39 105.69
Closest atoms and distances in Å follow each position.
Sites, in units of the cell vectors:
Li 0.0000 0.0000 0.0000  8 Pd 2.40-2.55
Li 0.3024 0.2015 0.6537  8 Pd 2.57-2.81, 2 Li 2.87
Li 0.3513 0.6976 0.8992  8 Pd 2.57-2.81, 2 Li 2.87
Li 0.5479 0.6487 0.3463  8 Pd 2.57-2.81, 2 Li 2.87
Li 0.7985 0.4521 0.1008  8 Pd 2.57-2.81, 2 Li 2.87
As 0.7500 0.2500 0.5000  4 Pd 2.37
Pd 0.0298 0.7798 0.6016  5 Li 2.55-2.63, 3 Pd 2.77-2.83
Pd 0.0683 0.3228 0.8921  1 As 2.37, 3 Li 2.40-2.59
Pd 0.1782 0.4283 0.3984  5 Li 2.55-2.63, 3 Pd 2.77-2.83
Pd 0.2202 0.8218 0.2500  5 Li 2.55-2.63, 3 Pd 2.77-2.83
Pd 0.4307 0.1763 0.1079  1 As 2.37, 3 Li 2.40-2.59
Pd 0.5717 0.9702 0.7500  5 Li 2.55-2.63, 3 Pd 2.77-2.83
Pd 0.6772 0.5693 0.7455  1 As 2.37, 3 Li 2.40-2.59
Pd 0.8237 0.9317 0.2545  1 As 2.37, 3 Li 2.40-2.59

Calculated values
The calculation puts the total magnetization at 0.000 μB/f.u. Its formation energy is -0.32 eV per atom. The crystal system is tetragonal.

(5)
Computed, not measured: a geometry-optimized HfCrGaCo2 structure at the GGA-PBE level of DFT.

abc: 4.2230 4.2230 4.8868
angles: 90.00 90.00 90.00
Closest atoms and distances in Å follow each position.
Sites, in units of the cell vectors:
Hf 0.0000 0.0000 0.0000  2 Ga 2.44
Cr 0.5000 0.5000 0.0000  4 Hf 2.99, 8 Co 3.23
Ga 0.0000 0.0000 0.5000  4 Co 2.11
Co 0.0000 0.5000 0.5000  2 Ga 2.11
Co 0.5000 0.0000 0.5000  2 Ga 2.11

Calculated values
The calculation puts the total magnetization at 1.973 μB/f.u. Its formation energy is 1.23 eV per atom. The crystal system is tetragonal.

(6)
Computed, not measured: a geometry-optimized La2Pr3Tm7 structure at the GGA-PBE level of DFT.

abc: 6.3866 3.5400 17.5938
angles: 90.00 96.35 90.00
Closest atoms and distances in Å follow each position.
Sites, in units of the cell vectors:
La 0.0495 0.0000 0.1743  5 Tm 3.44-3.55, 2 La 3.54, 4 Pr 3.64-3.69
La 0.9505 0.0000 0.8257  5 Tm 3.44-3.55, 2 La 3.54, 4 Pr 3.64-3.69
Pr 0.4598 0.5000 0.8410  2 Pr 3.54, 7 Tm 3.61-3.76, 4 La 3.64-3.69
Pr 0.5000 0.0000 0.5000  10 Tm 3.52-3.65, 2 Pr 3.54
Pr 0.5402 0.5000 0.1590  2 Pr 3.54, 7 Tm 3.61-3.76, 4 La 3.64-3.69
Tm 0.0000 0.5000 0.5000  8 Tm 3.50-3.54, 4 Pr 3.65
Tm 0.2251 0.0000 0.6629  1 La 3.52, 3 Pr 3.52-3.76, 8 Tm 3.54-3.66
Tm 0.2550 0.0000 0.0014  2 Tm 3.14-3.25, 2 La 3.44-3.47
Tm 0.2734 0.5000 0.3382  7 Tm 3.50-3.66, 3 Pr 3.52-3.75, 2 La 3.55
Tm 0.7266 0.5000 0.6618  7 Tm 3.50-3.66, 3 Pr 3.52-3.75, 2 La 3.55
Tm 0.7450 0.0000 0.9986  2 Tm 3.14-3.25, 2 La 3.44-3.47
Tm 0.7749 0.0000 0.3371  1 La 3.52, 3 Pr 3.52-3.76, 8 Tm 3.54-3.66

Calculated values
The calculation puts the total magnetization at 0.000 μB/f.u. Its formation energy is 0.10 eV per atom. The crystal system is monoclinic.

(7)
Computed, not measured: a geometry-optimized SrHoTl structure at the GGA-PBE level of DFT.

abc: 5.1071 5.1071 8.1221
angles: 90.00 90.00 90.00
Closest atoms and distances in Å follow each position.
Sites, in units of the cell vectors:
Sr 0.2500 0.2500 0.1419  5 Tl 3.37-3.76
Sr 0.7500 0.7500 0.8581  5 Tl 3.37-3.76
Ho 0.2500 0.7500 0.5000  4 Tl 3.15
Ho 0.7500 0.2500 0.5000  4 Tl 3.15
Tl 0.2500 0.2500 0.7275  4 Ho 3.15, 1 Sr 3.37
Tl 0.7500 0.7500 0.2725  4 Ho 3.15, 1 Sr 3.37

Calculated values
The calculation puts the excess energy over the best structure of this formula in the dataset at 0.000 eV/atom. The calculation puts the total magnetization at 0.034 μB/f.u. Its formation energy is -0.27 eV per atom. The crystal system is tetragonal.

(8)
Computed, not measured: a geometry-optimized Pm8HoTm4 structure at the GGA-PBE level of DFT.

abc: 10.4324 10.4324 10.4324
angles: 40.53 40.53 40.53
Closest atoms and distances in Å follow each position.
Sites, in units of the cell vectors:
Pm 0.2073 0.7512 0.7512  1 Ho 3.03, 2 Pm 3.30, 1 Tm 3.37
Pm 0.2127 0.2127 0.2127  9 Pm 3.68-3.83, 3 Tm 4.04
Pm 0.2488 0.2488 0.7927  1 Ho 3.03, 2 Pm 3.30, 1 Tm 3.37
Pm 0.2488 0.7927 0.2488  1 Ho 3.03, 2 Pm 3.30, 1 Tm 3.37
Pm 0.7512 0.2073 0.7512  1 Ho 3.03, 2 Pm 3.30, 1 Tm 3.37
Pm 0.7512 0.7512 0.2073  1 Ho 3.03, 2 Pm 3.30, 1 Tm 3.37
Pm 0.7873 0.7873 0.7873  9 Pm 3.68-3.83, 3 Tm 4.04
Pm 0.7927 0.2488 0.2488  1 Ho 3.03, 2 Pm 3.30, 1 Tm 3.37
Ho 0.5000 0.5000 0.5000  6 Pm 3.03
Tm 0.0000 0.0000 0.0000  6 Pm 3.37, 6 Tm 3.61
Tm 0.0000 0.5000 0.5000  4 Pm 3.53, 6 Tm 3.61
Tm 0.5000 0.0000 0.5000  4 Pm 3.53, 6 Tm 3.61
Tm 0.5000 0.5000 0.0000  4 Pm 3.53, 6 Tm 3.61

Calculated values
The calculation puts the total magnetization at 0.000 μB/f.u. Its formation energy is 0.20 eV per atom. The crystal system is trigonal.

(9)
Computed, not measured: a geometry-optimized MoHRu2 structure at the GGA-PBE level of DFT.

abc: 6.0953 6.0953 5.0987
angles: 90.00 90.00 90.00
Closest atoms and distances in Å follow each position.
Sites, in units of the cell vectors:
Mo 0.0000 0.0000 0.0000  2 H 2.55, 8 Ru 2.62-2.67
Mo 0.0000 0.5000 0.2500  2 H 2.55, 8 Ru 2.62-2.67
Mo 0.5000 0.0000 0.7500  2 H 2.55, 8 Ru 2.62-2.67
Mo 0.5000 0.5000 0.5000  2 H 2.55, 8 Ru 2.62-2.67
H 0.0000 0.0000 0.5000  4 Ru 1.90
H 0.0000 0.5000 0.7500  4 Ru 1.90
H 0.5000 0.0000 0.2500  4 Ru 1.90
H 0.5000 0.5000 0.0000  4 Ru 1.90
Ru 0.1556 0.2500 0.6250  2 H 1.90
Ru 0.2500 0.6556 0.8750  2 H 1.90
Ru 0.2500 0.8444 0.3750  2 H 1.90
Ru 0.3444 0.2500 0.1250  2 H 1.90
Ru 0.6556 0.7500 0.1250  2 H 1.90
Ru 0.7500 0.1556 0.3750  2 H 1.90
Ru 0.7500 0.3444 0.8750  2 H 1.90
Ru 0.8444 0.7500 0.6250  2 H 1.90

Calculated values
The calculation puts the excess energy over the best structure of this formula in the dataset at 0.234 eV/atom. The calculation puts the total magnetization at 0.000 μB/f.u. The crystal system is tetragonal.